1.
Here is TlFe2Au after structural relaxation from Alexandria via LeMat-Bulk. Energies are from GGA-PBE.

Structure (POSCAR):
```
TlFe2Au
1.0
2.9292 0.0000 0.0000
0.0000 3.9317 0.0000
-0.0129 0.0000 5.8763
Tl Fe Au
1 2 1
direct
0.0000 0.0000 0.0000 Tl
0.4993 0.5000 0.2848 Fe
0.5007 0.5000 0.7152 Fe
0.0000 0.0000 0.5000 Au
```

Summary:
As for the crystal system: monoclinic. The density of states at the Fermi level is 0.8731 states/eV/atom. For the total energy, the calculation gives -5.235 eV per atom.

2.
Here is TlFeAu2 after structural relaxation from Alexandria via LeMat-Bulk. Energies are from GGA-PBE.

Structure (POSCAR):
```
TlFeAu2
1.0
3.0042 0.0000 0.0000
0.0000 3.0042 0.0000
0.0000 0.0000 8.6211
Tl Fe Au
1 1 2
direct
0.0000 0.0000 0.0000 Tl
0.0000 0.0000 0.5000 Fe
0.5000 0.5000 0.3007 Au
0.5000 0.5000 0.6993 Au
```

Summary:
As for the crystal system: tetragonal. The density of states at the Fermi level is 0.6461 states/eV/atom. For the total energy, the calculation gives -4.164 eV per atom.

3.
Here is TlFe2Au2 after structural relaxation from Alexandria via LeMat-Bulk. Energies are from GGA-PBE.

Structure (POSCAR):
```
TlFe2Au2
1.0
-1.9853 1.9853 5.9020
1.9853 -1.9853 5.9020
1.9853 1.9853 -5.9020
Tl Fe Au
1 2 2
direct
0.0000 0.0000 0.0000 Tl
0.4052 0.4052 0.0000 Fe
0.5948 0.5948 0.0000 Fe
0.2500 0.7500 0.5000 Au
0.7500 0.2500 0.5000 Au
```

Summary:
As for the crystal system: tetragonal. The density of states at the Fermi level is 0.9362 states/eV/atom. For the total energy, the calculation gives -4.772 eV per atom.

no.,DFT formation energy (eV/atom)
1,0.407
2,0.182
3,0.397